The following is a GGA-PBE calculation of a relaxed structure of LaTcPt2, from Alexandria via LeMat-Bulk.

Lattice parameters (Å, degrees): 4.7464 2.9640 5.3391 90.53 90.00 90.00
Closest atoms and distances in Å follow each position.
Positions (direct):
Tc  0.0000  0.6326  0.4138  6 Pt 2.73-2.86, 2 Tc 2.96
La  0.5000  0.6198  0.7943  2 La 2.96, 8 Pt 2.97-3.12, 2 Tc 3.12
Pt  0.5000  0.1242  0.3083  4 Tc 2.84-2.86, 4 Pt 2.94-2.96, 4 La 2.97-3.12
Pt  0.0000  0.1234  0.9836  2 Tc 2.73-2.74, 4 Pt 2.94-2.96, 4 La 2.97-2.98

Summary:
The crystal system is monoclinic. The density comes out at 13.9 g/cm³. The total energy is -28.5 eV/f.u. The space group is No. 6. Its energy above the most stable polymorph in this dataset is 2.7 kJ per mole of atoms. As for the total magnetic moment: 0.0 Bohr magnetons per cell. For the density of states at the Fermi level, the calculation gives 2.7 states/eV per cell. The energy of formation from the pure elements is -0.2845 eV per atom.